NaCaAc after structural relaxation. Source: Alexandria, functional GGA-PBE.

Unit cell a=18.2248 b=18.2248 c=18.2248 alpha=167.92 beta=167.92 gamma=17.12
Closest atoms and distances in Å follow each position.
Fractional positions:
Na1 0.0502 0.0502 0.0000  5 Na 3.62-3.84, 4 Ca 3.90
Na2 0.9498 0.9498 0.0000  5 Na 3.62-3.84, 4 Ca 3.90
Ca1 0.3721 0.3721 0.0000  4 Ca 3.84, 4 Na 3.90, 4 Ac 4.02
Ca2 0.6279 0.6279 0.0000  4 Ca 3.84, 4 Na 3.90, 4 Ac 4.02
Ac1 0.2104 0.2104 0.0000  8 Ac 3.84-3.94, 4 Ca 4.02
Ac2 0.7896 0.7896 0.0000  8 Ac 3.84-3.94, 4 Ca 4.02

ΔE to the lowest computed polymorph	0.00	kcal/mol of atoms
E_form	0.06	eV per atom
density of states at the Fermi level	6.1	states/eV/cell
SG	I4/mmm, No. 139
calculated total energy	-0.089	Ha/atom